KCa2Be | the Alexandria database | GGA-PBE | relaxed; ρ = 1.296 Mg/m³; E_form = 355 meV/atom; volume = 41.08 Å³/atom; magnetization = 0.00 μB per formula unit
1.0
4.204 -0.037 0.101
2.081 3.653 0.101
2.155 1.240 10.714
Be Ca K
1 2 1
Direct
0.250 0.250 0.250
0.971 0.971 0.100
0.529 0.529 0.400
0.750 0.750 0.750